1.
Entry from Alexandria via LeMat-Bulk: an optimized crystal structure of HfBeNF2 (GGA-PBE).

Summary:
Relative energy among the computed polymorphs, eV/atom: 0.612
Spin magnetization, μB/cell: 0.000
SG: P4/mmm, No. 123
Theoretical density, g/cm³: 5.6
Raw formation energy, eV per atom: -1.30
Volume, A^3/atom: 14.321

Cell: 4.1164 4.1164 4.2258 Å, 90.00 90.00 90.00°
Atoms (fractional coordinates):
Be 0.5000 0.5000 0.5000
N 0.0000 0.0000 0.5000
F 0.0000 0.5000 0.0000
F 0.5000 0.0000 0.0000
Hf 0.0000 0.0000 0.0000

2.
Entry from Alexandria via LeMat-Bulk: an optimized crystal structure of HfBeN2F (GGA-PBE).

Summary:
Relative energy among the computed polymorphs, eV/atom: 0.755
Spin magnetization, μB/cell: 0.016
SG: P4/mmm, No. 123
Theoretical density, g/cm³: 5.6
Raw formation energy, eV per atom: -0.27
Volume, A^3/atom: 13.951

Cell: 4.1825 4.1825 3.9874 Å, 90.00 90.00 90.00°
Atoms (fractional coordinates):
F 0.0000 0.0000 0.5000
Hf 0.0000 0.0000 0.0000
N 0.5000 0.0000 0.0000
N 0.0000 0.5000 0.0000
Be 0.5000 0.5000 0.5000

3.
Entry from Alexandria via LeMat-Bulk: an optimized crystal structure of HfBeOF2 (GGA-PBE).

Summary:
Spin magnetization, μB/cell: 0.000
SG: P4/mmm, No. 123
Theoretical density, g/cm³: 5.5
Raw formation energy, eV per atom: -2.03
Volume, A^3/atom: 14.565

Cell: 4.2651 4.2651 4.0031 Å, 90.00 90.00 90.00°
Atoms (fractional coordinates):
Be 0.5000 0.5000 0.5000
O 0.0000 0.0000 0.5000
Hf 0.0000 0.0000 0.0000
F 0.0000 0.5000 0.0000
F 0.5000 0.0000 0.0000

4.
Entry from Alexandria via LeMat-Bulk: an optimized crystal structure of HfBePb2F (GGA-PBE).

Summary:
Spin magnetization, μB/cell: 0.000
SG: P4/mmm, No. 123
Theoretical density, g/cm³: 9.3
Raw formation energy, eV per atom: 0.16
Volume, A^3/atom: 22.220

Cell: 4.8184 4.7853 4.8184 Å, 90.00 90.00 90.00°
Atoms (fractional coordinates):
F 0.5000 0.5000 0.5000
Pb 0.5000 0.0000 0.0000
Pb 0.0000 0.0000 0.5000
Be 0.0000 0.0000 0.0000
Hf 0.0000 0.5000 0.0000

5.
Entry from Alexandria via LeMat-Bulk: an optimized crystal structure of Rb2HfBeF6 (GGA-PBE).

Summary:
Spin magnetization, μB/cell: 0.000
SG: I4/mmm, No. 139
Theoretical density, g/cm³: 3.6
Raw formation energy, eV per atom: -2.69
Volume, A^3/atom: 21.948

Cell: 6.7627 6.7627 6.7747 Å, 60.06 60.06 90.00°
Atoms (fractional coordinates):
Hf 0.0000 0.0000 0.0000
F 0.2099 0.2099 0.0000
Rb 0.2500 0.7500 0.5000
Be 0.5000 0.5000 0.0000
F 0.7901 0.7901 0.0000
F 0.7901 0.2099 0.0000
F 0.2092 0.2092 0.5816
F 0.2099 0.7901 0.0000
Rb 0.7500 0.2500 0.5000
F 0.7908 0.7908 0.4184

6.
Entry from Alexandria via LeMat-Bulk: an optimized crystal structure of BeHgF2 (GGA-PBE).

Summary:
Relative energy among the computed polymorphs, eV/atom: 0.167
Spin magnetization, μB/cell: 0.000
SG: R-3m, No. 166
Theoretical density, g/cm³: 6.5
Raw formation energy, eV per atom: -2.04
Volume, A^3/atom: 15.718

Cell: 9.4198 9.4198 9.4198 Å, 17.08 17.08 17.08°
Atoms (fractional coordinates):
Hg 0.0000 0.0000 0.0000
Be 0.5000 0.5000 0.5000
F 0.1356 0.1356 0.1356
F 0.8644 0.8644 0.8644

7.
Entry from Alexandria via LeMat-Bulk: an optimized crystal structure of Be2HgF (GGA-PBE).

Summary:
Relative energy among the computed polymorphs, eV/atom: 0.453
Spin magnetization, μB/cell: 0.000
SG: Fm-3m, No. 225
Theoretical density, g/cm³: 7.4
Raw formation energy, eV per atom: 0.18
Volume, A^3/atom: 13.407

Cell: 4.2329 4.2329 4.2329 Å, 60.00 60.00 60.00°
Atoms (fractional coordinates):
Be 0.7500 0.7500 0.7500
Be 0.2500 0.2500 0.2500
F 0.0000 0.0000 0.0000
Hg 0.5000 0.5000 0.5000

8.
Entry from Alexandria via LeMat-Bulk: an optimized crystal structure of Be2HgF (GGA-PBE).

Summary:
Relative energy among the computed polymorphs, eV/atom: 0.000
Spin magnetization, μB/cell: 0.000
SG: I-42d, No. 122
Theoretical density, g/cm³: 7.1
Raw formation energy, eV per atom: -0.27
Volume, A^3/atom: 13.839

Cell: 5.0173 5.0173 5.6504 Å, 63.64 63.64 90.00°
Atoms (fractional coordinates):
F 0.2500 0.7500 0.5000
Be 0.8750 0.7796 0.7500
Hg 0.7500 0.2500 0.5000
F 0.5000 0.5000 0.0000
Be 0.5296 0.1250 0.2500
Be 0.2204 0.6250 0.2500
Be 0.3750 0.4704 0.7500
Hg 0.0000 0.0000 0.0000